<A>
A plane-wave DFT calculation with PBE-GGA was carried out for a geometry-optimized BeAsW2 structure.

Cell lengths 3.760, 3.760, 8.090 Å; angles 90.00, 90.00, 90.00 degrees
Fractional positions:
Be  0.000  0.000  0.000
Be  0.500  0.500  0.500
As  0.000  0.500  0.250
As  0.500  0.000  0.750
W  0.000  0.000  0.500
W  0.000  0.500  0.750
W  0.500  0.000  0.250
W  0.500  0.500  0.000

Values from the calculation:
SG = I-4m2

<B>
A plane-wave DFT calculation with PBE-GGA was carried out for a geometry-optimized BeAsW2 structure.

Cell lengths 3.170, 3.170, 5.644 Å; angles 90.00, 90.00, 90.00 degrees
Fractional positions:
Be  0.000  0.000  0.000
As  0.500  0.500  0.740
W  0.000  0.000  0.479
W  0.500  0.500  0.200

Values from the calculation:
SG = P4mm

Most stable of them? <B>.

<A>
A plane-wave DFT calculation with PBE-GGA was carried out for a geometry-optimized BeAsW2 structure.

Cell lengths 6.174, 6.174, 6.174 Å; angles 90.00, 90.00, 90.00 degrees
Fractional positions:
Be  0.000  0.000  0.000
Be  0.000  0.500  0.500
Be  0.500  0.000  0.500
Be  0.500  0.500  0.000
As  0.250  0.250  0.750
As  0.250  0.750  0.250
As  0.750  0.250  0.250
As  0.750  0.750  0.750
W  0.000  0.000  0.500
W  0.000  0.500  0.000
W  0.250  0.250  0.250
W  0.250  0.750  0.750
W  0.500  0.000  0.000
W  0.500  0.500  0.500
W  0.750  0.250  0.750
W  0.750  0.750  0.250

Values from the calculation:
SG = F-43m

<B>
A plane-wave DFT calculation with PBE-GGA was carried out for a geometry-optimized BeAsW2 structure.

Cell lengths 3.743, 3.743, 18.022 Å; angles 90.00, 90.00, 90.00 degrees
Fractional positions:
Be  0.000  0.000  0.000
Be  0.000  0.500  0.250
Be  0.500  0.000  0.750
Be  0.500  0.500  0.500
As  0.000  0.000  0.500
As  0.000  0.500  0.750
As  0.500  0.000  0.250
As  0.500  0.500  0.000
W  0.230  0.250  0.125
W  0.250  0.730  0.375
W  0.250  0.770  0.875
W  0.270  0.250  0.625
W  0.730  0.750  0.625
W  0.750  0.230  0.875
W  0.750  0.270  0.375
W  0.770  0.750  0.125

Values from the calculation:
SG = I-42d

Most stable of them? <A>.

<A>
A plane-wave DFT calculation with PBE-GGA was carried out for a geometry-optimized BeAsW structure.

Cell lengths 4.344, 4.344, 2.657 Å; angles 90.00, 90.00, 120.00 degrees
Fractional positions:
Be  0.000  0.000  0.000
As  0.333  0.667  0.720
W  0.667  0.333  0.569

Values from the calculation:
SG = P3m1

<B>
A plane-wave DFT calculation with PBE-GGA was carried out for a geometry-optimized BeAsW structure.

Cell lengths 2.929, 2.929, 5.874 Å; angles 90.00, 90.00, 120.00 degrees
Fractional positions:
Be  0.000  0.000  0.000
As  0.333  0.667  0.672
W  0.667  0.333  0.323

Values from the calculation:
SG = P3m1

<C>
A plane-wave DFT calculation with PBE-GGA was carried out for a geometry-optimized BeAsW structure.

Cell lengths 3.148, 3.148, 8.078 Å; angles 90.00, 90.00, 90.00 degrees
Fractional positions:
Be  0.000  0.000  0.000
Be  0.500  0.500  0.500
As  0.000  0.000  0.339
As  0.500  0.500  0.839
W  0.000  0.000  0.667
W  0.500  0.500  0.167

Values from the calculation:
SG = I4mm

Most stable of them? <C>.